Here is an optimized crystal structure of Na2MnHgO4 from Alexandria. Energies are from PBE with a Hubbard U.

## Properties
For the total moment, the calculation gives 3.0 μB/f.u. The final energy is -4.915 eV/atom.

a = 5.8986 Å, b = 3.0962 Å, c = 6.1438 Å
α = 90.00°, β = 115.75°, γ = 90.00°
Fractional positions:
1 Na 0.0000 0.0000 0.0000
2 Na 0.0000 0.5000 0.5000
3 Mn 0.5000 0.0000 0.5000
4 Hg 0.5000 0.5000 0.0000
5 O 0.2842 0.5000 0.3058
6 O 0.3136 0.0000 0.6955
7 O 0.6864 0.0000 0.3045
8 O 0.7158 0.5000 0.6942